1.
! PBE Y6MgFe2, optimized geometry; values from VASP
&SYSTEM
  ibrav = 0, nat = 18, ntyp = 3
/
ATOMIC_SPECIES
Y 88.91 Y.upf
Mg 24.30 Mg.upf
Fe 55.84 Fe.upf
CELL_PARAMETERS angstrom
-4.773 4.852 5.077
4.773 -4.852 5.077
4.773 4.852 -5.077
ATOMIC_POSITIONS angstrom
Y 4.773 2.784 -2.765
Y 2.762 1.820 0.000
Y 6.784 1.820 0.000
Y 1.924 4.852 -1.939
Y 2.849 0.000 3.138
Y 0.000 2.068 2.311
Y 4.773 2.784 2.765
Y 1.924 4.852 1.939
Y 2.849 0.000 7.016
Y -2.011 3.032 5.077
Y 2.011 3.032 5.077
Y 0.000 2.068 7.842
Mg 0.000 0.000 0.000
Mg 0.000 0.000 5.077
Fe 4.773 0.000 1.082
Fe 0.000 3.747 0.000
Fe 0.000 5.957 0.000
Fe 0.000 4.852 3.995
! D(E_F) ... 22.88 states/eV/cell
! Space-group type ... No. 71
! E_tot ... -6.402 eV/atom


2.
! PBE Y2MgFe, optimized geometry; values from VASP
&SYSTEM
  ibrav = 0, nat = 4, ntyp = 3
/
ATOMIC_SPECIES
Y 88.91 Y.upf
Mg 24.30 Mg.upf
Fe 55.84 Fe.upf
CELL_PARAMETERS angstrom
6.087 -1.678 0.000
6.087 1.678 0.000
-2.203 0.000 4.691
ATOMIC_POSITIONS angstrom
Y 0.000 0.000 0.000
Y 0.878 0.000 3.278
Mg 4.053 0.000 1.906
Fe 8.195 0.000 0.982
! D(E_F) ... 5.94 states/eV/cell
! Space-group type ... No. 8
! E_tot ... -5.606 eV/atom